(1)
A plane-wave DFT calculation with PBE was carried out for a relaxed structure of Si2CCl2.

Properties
* total magnetic moment: 0.000 μB/f.u.
* final energy: -41.8 eV/cell
* formation energy from raw total energies: 0.570 eV/atom
* DOS(E_F): 1.5 states/eV/cell
* SG: P4/mbm (127)

Cell and atoms, written as POSCAR:
```
Si2CCl2
1.0
-1.0529 5.3311 1.4086
-2.5338 -1.7414 4.6969
4.0861 0.2045 2.2802
Si C Cl
4 2 4
Cartesian
-1.8533 -0.2839 3.3466 Si
-2.8182 2.0804 4.8636 Si
-1.7334 3.8736 2.7589 Si
-0.7685 1.5093 1.2419 Si
0.0000 0.0000 0.0000 C
-1.7934 1.7949 3.0527 C
0.0888 -0.0805 4.6586 Cl
-0.7334 2.3818 5.9111 Cl
0.4106 3.8748 3.7270 Cl
1.2328 1.4124 2.4745 Cl
```

(2)
A plane-wave DFT calculation with PBE was carried out for a relaxed structure of K2HfAgO4.

Properties
* total magnetic moment: 0.848 μB/f.u.
* final energy: -49.3 eV/cell
* formation energy from raw total energies: -1.807 eV/atom
* DOS(E_F): 2.6 states/eV/cell
* SG: I-4 (82)

Cell and atoms, written as POSCAR:
```
K2HfAgO4
1.0
-3.7027 2.3490 -3.7105
2.3079 -4.9067 -1.8955
-2.4579 -1.6477 4.9233
K Hf Ag O
2 1 1 4
Cartesian
-0.7349 -2.9175 -2.0461 K
0.0000 0.0000 0.0000 K
-3.1178 -1.2880 1.3633 Hf
-0.0750 -3.2772 1.5139 Ag
-2.4515 -0.8811 -0.4446 O
-1.6711 -2.0819 2.4381 O
-2.1540 -0.9178 -3.6778 O
-1.4288 -4.5301 0.3189 O
```

(3)
A plane-wave DFT calculation with PBE was carried out for a relaxed structure of SiTeRu3.

Properties
* total magnetic moment: 0.000 μB/f.u.
* final energy: -33.2 eV/cell
* formation energy from raw total energies: 0.637 eV/atom
* DOS(E_F): 4.6 states/eV/cell
* SG: Pm-3m (221)

Cell and atoms, written as POSCAR:
```
SiTeRu3
1.0
-1.5786 2.9825 2.9124
1.6000 -2.4422 3.3683
3.8493 2.2382 -0.2057
Ru Si Te
3 1 1
Cartesian
0.8000 -1.2211 1.6841 Ru
1.9247 1.1191 -0.1029 Ru
-0.7893 1.4913 1.4562 Ru
0.0000 0.0000 0.0000 Si
1.9354 1.3893 3.0375 Te
```